Cd2PtAu2 | PBE-GGA | optimized geometry

Geometry as POSCAR:
```
Cd2PtAu2
1.0
-1.9071 1.9071 6.7961
1.9071 -1.9071 6.7961
1.9071 1.9071 -6.7961
Cd Au Pt
2 2 1
Cartesian
0.0000 0.0000 5.4894
0.0000 0.0000 8.1028
0.0000 1.9072 3.3980
1.9072 0.0000 3.3980
0.0000 0.0000 0.0000
```

Summary:
Uncorrected energy ... -14.16 eV for the cell shown
Space group ... No. 139
Theoretical density ... 13.7 g cm⁻³
Total moment ... 0.00 μB per cell
Energy above the most stable polymorph in this dataset ... 0.000 eV/atom
Formation energy ... 4.3 kJ per mole of atoms